[1]
Compound: Cd4Ag3Hg
Source: Alexandria via LeMat-Bulk
Functional: PBE
Structure: relaxed

Cell: 5.006 6.663 9.709 Å, 90.00 90.00 90.00°
Fractional coordinates of all 16 atoms:
Cd 0.889 0.240 0.250
Cd 0.500 0.759 0.000
Cd 0.111 0.760 0.750
Cd 0.111 0.240 0.750
Cd 0.500 0.241 0.500
Cd 0.889 0.760 0.250
Cd 0.500 0.759 0.500
Cd 0.500 0.241 0.000
Ag 0.617 0.000 0.750
Ag 0.383 0.000 0.250
Ag 0.393 0.500 0.250
Ag 0.000 0.000 0.500
Ag 0.000 0.000 0.000
Ag 0.607 0.500 0.750
Hg 0.000 0.500 0.000
Hg 0.000 0.500 0.500

Calculated values
Energy of formation   -0.013 eV/atom
Calculated density   9.99 g/cm3
Final energy   -0.058 hartree per atom
Space-group type   No. 51

---

[2]
Compound: LuZrVIr
Source: Alexandria via LeMat-Bulk
Functional: PBE
Structure: relaxed

Cell: 4.757 4.757 4.757 Å, 60.00 60.00 60.00°
Fractional coordinates of all 4 atoms:
V 0.750 0.750 0.750
Ir 0.250 0.250 0.250
Zr 0.000 0.000 0.000
Lu 0.500 0.500 0.500

Calculated values
Energy of formation   -0.364 eV/atom
Calculated density   11.11 g/cm3
Final energy   -0.299 hartree per atom
Space-group type   No. 216

---

[3]
Compound: SiCl
Source: Alexandria via LeMat-Bulk
Functional: PBE
Structure: relaxed

Cell: 8.636 3.944 6.831 Å, 90.00 105.44 90.00°
Fractional coordinates of all 8 atoms:
Si 0.957 0.000 0.319
Si 0.043 0.000 0.681
Si 0.957 0.500 0.819
Si 0.043 0.500 0.181
Cl 0.293 0.500 0.265
Cl 0.293 0.000 0.765
Cl 0.707 0.000 0.235
Cl 0.707 0.500 0.735

Calculated values
Calculated density   1.88 g/cm3
Final energy   -0.158 hartree per atom
Space-group type   No. 12

---

[4]
Compound: Pm2TiVN5
Source: Alexandria via LeMat-Bulk
Functional: PBE
Structure: relaxed

Cell: 3.298 7.131 10.206 Å, 90.00 90.00 103.37°
Fractional coordinates of all 18 atoms:
N 0.495 0.990 0.786
N 0.293 0.586 0.655
N 0.707 0.414 0.155
N 0.679 0.358 0.884
N 0.344 0.688 0.008
N 0.321 0.642 0.384
N 0.963 0.926 0.521
N 0.505 0.010 0.286
N 0.656 0.312 0.508
N 0.037 0.074 0.021
Pm 0.884 0.769 0.178
Pm 0.865 0.730 0.822
Pm 0.116 0.231 0.678
Pm 0.135 0.270 0.322
V 0.554 0.109 0.939
V 0.446 0.891 0.439
Ti 0.789 0.578 0.532
Ti 0.211 0.422 0.032

Calculated values
Calculated density   6.52 g/cm3
Final energy   -0.326 hartree per atom
Space-group type   No. 36

---

[5]
Compound: Pr4Ho5Tm2
Source: Alexandria via LeMat-Bulk
Functional: PBE
Structure: relaxed

Cell: 5.652 6.673 9.982 Å, 90.62 106.44 90.00°
Fractional coordinates of all 11 atoms:
Tm 0.598 0.556 0.196
Tm 0.402 0.444 0.804
Ho 0.500 0.000 0.000
Ho 0.130 0.887 0.260
Ho 0.870 0.113 0.740
Ho 0.791 0.598 0.582
Ho 0.209 0.402 0.418
Pr 0.980 0.711 0.960
Pr 0.693 0.071 0.386
Pr 0.020 0.289 0.040
Pr 0.307 0.929 0.614

Calculated values
Energy of formation   0.110 eV/atom
Calculated density   7.94 g/cm3
Final energy   -0.166 hartree per atom
Space-group type   No. 12

---

[6]
Compound: HoVP
Source: Alexandria via LeMat-Bulk
Functional: PBE
Structure: relaxed

Cell: 7.436 7.436 7.498 Å, 90.00 90.00 120.00°
Fractional coordinates of all 18 atoms:
P 0.333 0.667 0.477
P 0.000 0.000 0.250
P 0.667 0.333 0.523
P 0.000 0.000 0.750
P 0.667 0.333 0.977
P 0.333 0.667 0.023
Ho 0.276 0.000 0.000
Ho 0.000 0.276 0.500
Ho 0.724 0.724 0.500
Ho 0.724 0.724 0.000
Ho 0.276 0.000 0.500
Ho 0.000 0.276 0.000
V 0.441 0.358 0.750
V 0.083 0.642 0.250
V 0.642 0.083 0.750
V 0.917 0.559 0.750
V 0.358 0.441 0.250
V 0.559 0.917 0.250

Calculated values
Energy of formation   -0.366 eV/atom
Calculated density   6.85 g/cm3
Final energy   -0.247 hartree per atom
Space-group type   No. 190

---

Which formula does entry 6 have? HoVP